DFT (PBE) results for a relaxed Ta2InPb crystal.

Results
ΔH_f (0 K): 0.48 eV/atom
total magnetic moment: 0.00 μB per cell
VASP energy: -28.2 eV per cell

Cell: 5.7476 5.6754 3.0631 Å, 78.76 81.50 117.80°
Last column: nearest neighbours and their distance in Å.
Sites, in units of the cell vectors:
1 Ta 0.0000 0.0000 0.0000  2 In 2.95, 2 Pb 2.95, 4 Ta 3.05-3.06
2 Ta 0.5000 0.0000 0.5000  2 Pb 2.95, 2 In 2.95, 4 Ta 3.05-3.06
3 In 0.0000 0.5000 0.5000  4 Ta 2.95, 2 Pb 3.05, 2 In 3.06
4 Pb 0.5000 0.5000 0.0000  4 Ta 2.95, 2 In 3.05, 2 Pb 3.06

=====

DFT (PBE) results for a relaxed Ta4InPb crystal.

Results
ΔH_f (0 K): 0.47 eV/atom
total magnetic moment: 0.00 μB per cell
VASP energy: -51.0 eV per cell

Cell: 5.6258 5.6258 5.6258 Å, 60.00 60.00 60.00°
Last column: nearest neighbours and their distance in Å.
Sites, in units of the cell vectors:
1 Ta 0.3757 0.3757 0.8729  6 Ta 2.80-2.83
2 Ta 0.3757 0.3757 0.3757  6 Ta 2.80-2.83
3 Ta 0.8729 0.3757 0.3757  6 Ta 2.80-2.83
4 Ta 0.3757 0.8729 0.3757  6 Ta 2.80-2.83
5 Pb 0.0000 0.0000 0.0000  12 Ta 3.30, 4 In 3.45
6 In 0.7500 0.7500 0.7500  12 Ta 3.30, 4 Pb 3.45

=====

DFT (PBE) results for a relaxed TaIn3Pb crystal.

Results
ΔH_f (0 K): 1.57 eV/atom
total magnetic moment: 3.26 μB per cell
VASP energy: -15.9 eV per cell

Cell: 5.6535 5.6535 5.6535 Å, 90.00 90.00 90.00°
Last column: nearest neighbours and their distance in Å.
Sites, in units of the cell vectors:
1 In 0.0000 0.5000 0.0000  2 Pb 2.83
2 In 0.5000 0.0000 0.0000  2 Pb 2.83
3 In 0.0000 0.0000 0.5000  2 Pb 2.83
4 Ta 0.5000 0.5000 0.5000  12 In 4.00
5 Pb 0.0000 0.0000 0.0000  6 In 2.83

=====

DFT (PBE) results for a relaxed Ta2InPb crystal.

Results
ΔH_f (0 K): 0.38 eV/atom
total magnetic moment: 0.00 μB per cell
VASP energy: -28.6 eV per cell

Cell: 2.9880 2.9880 10.3243 Å, 90.00 90.00 90.00°
Last column: nearest neighbours and their distance in Å.
Sites, in units of the cell vectors:
1 Ta 0.5000 0.5000 0.2350  8 Ta 2.99-3.02, 4 In 3.10
2 Ta 0.0000 0.0000 0.0262  8 Ta 2.99-3.02, 4 Pb 3.27
3 Pb 0.5000 0.5000 0.7844  4 Pb 2.99, 4 Ta 3.27
4 In 0.0000 0.0000 0.4544  4 In 2.99, 4 Ta 3.10

=====

DFT (PBE) results for a relaxed Ta2InPb crystal.

Results
ΔH_f (0 K): 0.45 eV/atom
total magnetic moment: 0.00 μB per cell
VASP energy: -28.4 eV per cell

Cell: 4.8282 3.0879 5.8782 Å, 75.93 90.00 90.00°
Last column: nearest neighbours and their distance in Å.
Sites, in units of the cell vectors:
1 Pb 0.5000 0.7455 0.7717  4 Ta 2.92-3.06, 2 Pb 3.09, 2 In 3.21
2 In 0.0000 0.4919 0.4687  4 Ta 2.86-3.12, 2 In 3.09
3 Ta 0.5000 0.1962 0.2524  4 Ta 2.89-3.09, 2 Pb 2.92-3.03, 2 In 2.97
4 Ta 0.0000 0.0664 0.0073  2 In 2.86-3.12, 4 Ta 2.89-3.09, 2 Pb 3.06

=====

DFT (PBE) results for a relaxed Ta2InPb crystal.

Results
ΔH_f (0 K): 0.57 eV/atom
total magnetic moment: 0.00 μB per cell
VASP energy: -27.9 eV per cell

Cell: 5.4496 5.4496 3.0246 Å, 90.00 90.00 112.49°
Last column: nearest neighbours and their distance in Å.
Sites, in units of the cell vectors:
1 In 0.5000 0.0000 0.5000  2 In 3.02, 2 Pb 3.03, 8 Ta 3.12
2 Ta 0.0000 0.0000 0.0000  4 Ta 3.02-3.03, 4 In 3.12, 4 Pb 3.12
3 Ta 0.5000 0.5000 0.0000  4 Ta 3.02-3.03, 4 Pb 3.12, 4 In 3.12
4 Pb 0.0000 0.5000 0.5000  2 Pb 3.02, 2 In 3.03, 8 Ta 3.12

=====

Question: The lowest VASP energy belongs to which entry?
Answer: Ta4InPb